Crystalline Mo3Pt3Rh2 at its relaxed geometry. Source: Alexandria via LeMat-Bulk, functional PBE.

formation energy from the elements	-0.11	eV/atom

abc: 12.5091 4.4955 4.7132
angles: 90.00 110.24 90.00
With the nearest neighbours (Å) after each atom.
Sites, in units of the cell vectors:
Mo 0.0000 0.0000 0.0000  2 Mo 2.55, 4 Pt 2.73
Mo 0.1391 0.0000 0.7113  1 Mo 2.55, 4 Rh 2.65-2.73, 3 Pt 2.71-2.81
Mo 0.3609 0.5000 0.2887  1 Mo 2.55, 4 Rh 2.65-2.73, 3 Pt 2.71-2.81
Mo 0.5000 0.5000 0.0000  2 Mo 2.55, 4 Pt 2.73
Mo 0.6391 0.5000 0.7113  1 Mo 2.55, 4 Rh 2.65-2.73, 3 Pt 2.71-2.81
Mo 0.8609 0.0000 0.2887  1 Mo 2.55, 4 Rh 2.65-2.73, 3 Pt 2.71-2.81
Pt 0.0000 0.5000 0.5000  2 Pt 2.65, 4 Mo 2.81, 2 Rh 2.95
Pt 0.1304 0.5000 0.0789  1 Pt 2.65, 4 Rh 2.70-2.79, 5 Mo 2.71-2.86
Pt 0.3696 0.0000 0.9211  1 Pt 2.65, 4 Rh 2.70-2.79, 5 Mo 2.71-2.86
Pt 0.5000 0.0000 0.5000  2 Pt 2.65, 4 Mo 2.81, 2 Rh 2.95
Pt 0.6304 0.0000 0.0789  1 Pt 2.65, 4 Rh 2.70-2.79, 5 Mo 2.71-2.86
Pt 0.8696 0.5000 0.9211  1 Pt 2.65, 4 Rh 2.70-2.79, 5 Mo 2.71-2.86
Rh 0.2493 0.0000 0.3220  5 Mo 2.65-2.96, 5 Pt 2.70-2.95, 2 Rh 2.80
Rh 0.2507 0.5000 0.6780  5 Mo 2.65-2.96, 5 Pt 2.70-2.95, 2 Rh 2.80
Rh 0.7493 0.5000 0.3220  5 Mo 2.65-2.96, 5 Pt 2.70-2.95, 2 Rh 2.80
Rh 0.7507 0.0000 0.6780  5 Mo 2.65-2.96, 5 Pt 2.70-2.95, 2 Rh 2.80

=====

Crystalline Li2PbCl at its relaxed geometry. Source: Alexandria via LeMat-Bulk, functional PBE.

relative energy among the computed polymorphs	1.28	eV per formula unit
formation energy (no corrections)	-0.61	eV per atom

abc: 3.7173 3.7173 15.3543
angles: 90.00 90.00 90.00
With the nearest neighbours (Å) after each atom.
Sites, in units of the cell vectors:
Li 0.0000 0.0000 0.0000  4 Cl 2.63
Li 0.0000 0.5000 0.2500  4 Pb 2.63
Li 0.5000 0.0000 0.7500  4 Pb 2.63
Li 0.5000 0.5000 0.5000  4 Cl 2.63
Pb 0.0000 0.5000 0.7500  4 Li 2.63
Pb 0.5000 0.0000 0.2500  4 Li 2.63
Cl 0.0000 0.0000 0.5000  4 Li 2.63
Cl 0.5000 0.5000 0.0000  4 Li 2.63

=====

Crystalline TlTcP2 at its relaxed geometry. Source: Alexandria via LeMat-Bulk, functional PBE.

relative energy among the computed polymorphs	2.99	eV per formula unit
formation energy from the elements	0.67	eV/atom

abc: 6.4469 6.4469 6.4469
angles: 90.00 90.00 90.00
With the nearest neighbours (Å) after each atom.
Sites, in units of the cell vectors:
Tl 0.0000 0.0000 0.0000  8 P 2.79
Tl 0.0000 0.5000 0.5000  8 P 2.79
Tl 0.5000 0.0000 0.5000  8 P 2.79
Tl 0.5000 0.5000 0.0000  8 P 2.79
Tc 0.0000 0.0000 0.5000  8 P 2.79
Tc 0.0000 0.5000 0.0000  8 P 2.79
Tc 0.5000 0.0000 0.0000  8 P 2.79
Tc 0.5000 0.5000 0.5000  8 P 2.79
P 0.2500 0.2500 0.2500  4 Tc 2.79, 4 Tl 2.79
P 0.2500 0.2500 0.7500  4 Tl 2.79, 4 Tc 2.79
P 0.2500 0.7500 0.2500  4 Tl 2.79, 4 Tc 2.79
P 0.2500 0.7500 0.7500  4 Tl 2.79, 4 Tc 2.79
P 0.7500 0.2500 0.2500  4 Tl 2.79, 4 Tc 2.79
P 0.7500 0.2500 0.7500  4 Tl 2.79, 4 Tc 2.79
P 0.7500 0.7500 0.2500  4 Tc 2.79, 4 Tl 2.79
P 0.7500 0.7500 0.7500  4 Tl 2.79, 4 Tc 2.79

=====

Crystalline Th2TlSe4 at its relaxed geometry. Source: Alexandria via LeMat-Bulk, functional PBE.

formation energy (no corrections)	-1.42	eV per atom

abc: 7.4126 7.4126 14.5360
angles: 90.00 90.00 146.42
With the nearest neighbours (Å) after each atom.
Sites, in units of the cell vectors:
Th 0.1296 0.8704 0.5640  6 Se 2.86-2.97
Th 0.1296 0.8704 0.9360  6 Se 2.86-2.97
Th 0.8704 0.1296 0.0640  6 Se 2.86-2.97
Th 0.8704 0.1296 0.4360  6 Se 2.86-2.97
Tl 0.3950 0.6050 0.7500  6 Se 3.21-3.48
Tl 0.6050 0.3950 0.2500  6 Se 3.21-3.48
Se 0.0633 0.9367 0.7500  2 Th 2.86
Se 0.2348 0.7652 0.1101  3 Th 2.94-2.96
Se 0.2348 0.7652 0.3899  3 Th 2.94-2.96
Se 0.5000 0.5000 0.0000  4 Th 2.97
Se 0.5000 0.5000 0.5000  4 Th 2.97
Se 0.7652 0.2348 0.6101  3 Th 2.94-2.96
Se 0.7652 0.2348 0.8899  3 Th 2.94-2.96
Se 0.9367 0.0633 0.2500  2 Th 2.86

=====

Number 1: spin magnetization 0.00 μB/f.u.. Number 2: spin magnetization 0.00 μB/f.u.. Number 3: spin magnetization 0.00 μB/f.u.. Number 4: spin magnetization 0.00 μB/f.u..